A geometry-optimized Ag2AuN structure, computed with PBE. Values from VASP.

Quantum ESPRESSO input file:
```
&SYSTEM
  ibrav = 0, nat = 8, ntyp = 3
/
ATOMIC_SPECIES
Au 196.97 Au.upf
Ag 107.87 Ag.upf
N 14.01 N.upf
CELL_PARAMETERS angstrom
-0.852 0.191 5.048
2.754 -4.275 0.626
6.037 1.341 3.568
ATOMIC_POSITIONS crystal
Au 0.000 0.000 0.000
Au 0.750 0.250 0.500
Ag 0.479 0.125 0.250
Ag 0.271 0.625 0.250
Ag 0.375 0.521 0.750
Ag 0.875 0.729 0.750
N 0.500 0.500 0.000
N 0.250 0.750 0.500
```

Calculated values
Calculated total energy   -3.2960 eV/atom
Fermi-level density of states   1.73 states/eV/cell
Calculated density   8.78 Mg/m³
SG   No. 122
Formation energy without anion corrections   1030 meV/atom